# Zr8S2N | Alexandria | PBE-GGA | optimized geometry
# * DOS(E_F): 9.53 states/eV/f.u.
# * raw total energy: -94.6 eV/cell
# * formation energy from raw total energies: -0.877 eV/atom
data_Zr8S2N
_chemical_formula_sum 'Zr8 S2 N1'
_cell_length_a 3.340
_cell_length_b 8.438
_cell_length_c 7.712
_cell_angle_alpha 99.15
_cell_angle_beta 102.51
_cell_angle_gamma 90.00
_space_group_name_H-M_alt 'P 1'
_space_group_IT_number 1
_space_group_name_Hall 'P 1'
loop_
_atom_site_label
_atom_site_fract_x
_atom_site_fract_y
_atom_site_fract_z
_atom_site_occupancy
Zr1 0.788 0.673 0.576 1
Zr2 0.593 0.549 0.185 1
Zr3 0.988 0.812 0.977 1
Zr4 0.654 0.014 0.307 1
Zr5 0.346 0.986 0.693 1
Zr6 0.407 0.451 0.815 1
Zr7 0.212 0.327 0.424 1
Zr8 0.012 0.188 0.023 1
S1 0.173 0.780 0.346 1
S2 0.827 0.220 0.654 1
N1 0.500 0.000 0.000 1

=====

# Zr4SN2 | Alexandria | PBE-GGA | optimized geometry
# * DOS(E_F): 6.98 states/eV/f.u.
# * raw total energy: -57.5 eV/cell
# * formation energy from raw total energies: -0.360 eV/atom
data_Zr4SN2
_chemical_formula_sum 'Zr4 S1 N2'
_cell_length_a 4.715
_cell_length_b 4.715
_cell_length_c 6.803
_cell_angle_alpha 69.72
_cell_angle_beta 69.72
_cell_angle_gamma 90.00
_space_group_name_H-M_alt 'P 1'
_space_group_IT_number 1
_space_group_name_Hall 'P 1'
loop_
_atom_site_label
_atom_site_fract_x
_atom_site_fract_y
_atom_site_fract_z
_atom_site_occupancy
Zr1 0.000 0.500 0.000 1
Zr2 0.758 0.758 0.483 1
Zr3 0.500 0.000 0.000 1
Zr4 0.242 0.242 0.517 1
S1 0.000 0.000 0.000 1
N1 0.404 0.404 0.193 1
N2 0.596 0.596 0.807 1

=====

# Zr2S2N | Alexandria | PBE-GGA | optimized geometry
# * DOS(E_F): 1.77 states/eV/f.u.
# * raw total energy: -82.3 eV/cell
# * formation energy from raw total energies: -1.500 eV/atom
data_Zr2S2N
_chemical_formula_sum 'Zr4 S4 N2'
_cell_length_a 5.352
_cell_length_b 6.489
_cell_length_c 6.489
_cell_angle_alpha 60.48
_cell_angle_beta 65.65
_cell_angle_gamma 65.65
_space_group_name_H-M_alt 'P 1'
_space_group_IT_number 1
_space_group_name_Hall 'P 1'
loop_
_atom_site_label
_atom_site_fract_x
_atom_site_fract_y
_atom_site_fract_z
_atom_site_occupancy
S1 0.854 0.023 0.269 1
S2 0.646 0.731 0.977 1
S3 0.146 0.977 0.731 1
S4 0.354 0.269 0.023 1
Zr1 0.099 0.611 0.192 1
Zr2 0.401 0.808 0.389 1
Zr3 0.599 0.192 0.611 1
Zr4 0.901 0.389 0.808 1
N1 0.750 0.500 0.500 1
N2 0.250 0.500 0.500 1

=====

# ZrSN | Alexandria | PBE-GGA | optimized geometry
# * DOS(E_F): 0.64 states/eV/f.u.
# * raw total energy: -71.2 eV/cell
# * formation energy from raw total energies: -0.911 eV/atom
data_ZrSN
_chemical_formula_sum 'Zr3 S3 N3'
_cell_length_a 3.560
_cell_length_b 3.560
_cell_length_c 13.814
_cell_angle_alpha 90.00
_cell_angle_beta 90.00
_cell_angle_gamma 120.00
_space_group_name_H-M_alt 'P 1'
_space_group_IT_number 1
_space_group_name_Hall 'P 1'
loop_
_atom_site_label
_atom_site_fract_x
_atom_site_fract_y
_atom_site_fract_z
_atom_site_occupancy
N1 0.000 0.000 0.765 1
N2 0.333 0.667 0.431 1
N3 0.667 0.333 0.098 1
S1 0.333 0.667 0.599 1
S2 0.667 0.333 0.266 1
S3 0.000 0.000 0.932 1
Zr1 0.667 0.333 0.476 1
Zr2 0.000 0.000 0.142 1
Zr3 0.333 0.667 0.809 1

=====

Repeat the second record exactly.
# Zr4SN2 | Alexandria | PBE-GGA | optimized geometry
# * DOS(E_F): 6.98 states/eV/f.u.
# * raw total energy: -57.5 eV/cell
# * formation energy from raw total energies: -0.360 eV/atom
data_Zr4SN2
_chemical_formula_sum 'Zr4 S1 N2'
_cell_length_a 4.715
_cell_length_b 4.715
_cell_length_c 6.803
_cell_angle_alpha 69.72
_cell_angle_beta 69.72
_cell_angle_gamma 90.00
_space_group_name_H-M_alt 'P 1'
_space_group_IT_number 1
_space_group_name_Hall 'P 1'
loop_
_atom_site_label
_atom_site_fract_x
_atom_site_fract_y
_atom_site_fract_z
_atom_site_occupancy
Zr1 0.000 0.500 0.000 1
Zr2 0.758 0.758 0.483 1
Zr3 0.500 0.000 0.000 1
Zr4 0.242 0.242 0.517 1
S1 0.000 0.000 0.000 1
N1 0.404 0.404 0.193 1
N2 0.596 0.596 0.807 1